A relaxed MnGaFe2O6 crystal, computed with PBE+U.

Values from the calculation:
SG ... No. 1
Energy ... -65.460 eV per cell
Magnetization ... 1.000 μB per atom

Geometry as POSCAR:
```
MnGaFe2O6
1.0
5.015 0.000 0.000
2.422 4.444 0.000
0.025 2.824 4.574
Mn Ga Fe O
1 1 2 6
direct
0.000 0.000 0.000
0.503 0.992 0.508
0.201 0.594 0.607
0.707 0.574 0.125
0.107 0.086 0.312
0.297 0.104 0.813
0.428 0.457 0.343
0.581 0.511 0.805
0.808 0.785 0.315
0.920 0.781 0.815
```